Material: InOsRu2
Method: DFT, PBE
State: optimized geometry

Results
* crystal system: cubic
* ΔH_f (0 K): 200 kJ/mol of formula units
* final energy: -7.612 eV per atom

Cell: 4.459 4.459 4.459 Å, 60.00 60.00 60.00°
Site moments in Bohr magnetons follow the coordinates.
Element x y z (fractional)
1 In 0.500 0.500 0.500  0.01
2 Os 0.750 0.750 0.750  0.06
3 Ru 0.000 0.000 0.000  0.99
4 Ru 0.250 0.250 0.250  0.21